(1)
InOsCl2 | meta-GGA SCAN | single point on PBEsol structure

a = 3.083 Å, b = 5.281 Å, c = 6.321 Å
α = 114.45°, β = 90.00°, γ = 106.97°
Sites, in units of the cell vectors:
Os1 0.298 0.596 0.625
Cl1 0.905 0.810 0.943
Cl2 0.729 0.458 0.306
In1 0.568 0.136 0.626

Results
* M_tot: 0.00 μB per atom
* ρ: 7.0 Mg/m³
* formation energy from raw total energies: -10 meV/atom
* V: 88.7 Å³ per cell
* ΔE to the lowest computed polymorph: 0.000 eV/atom



(2)
YSi2Br | meta-GGA SCAN | single point on PBEsol structure

a = 3.218 Å, b = 5.221 Å, c = 5.221 Å
α = 112.92°, β = 90.00°, γ = 90.00°
Sites, in units of the cell vectors:
Si1 0.000 0.000 0.500
Y1 0.500 0.000 0.000
Br1 0.500 0.500 0.500
Si2 0.000 0.500 0.000

Results
* M_tot: 0.00 μB per atom
* ρ: 4.6 Mg/m³
* formation energy from raw total energies: 77 meV/atom
* V: 80.8 Å³ per cell
* ΔE to the lowest computed polymorph: 0.461 eV/atom



(3)
Eu2Ti2O7 | meta-GGA SCAN | single point on PBEsol structure

a = 7.199 Å, b = 7.199 Å, c = 7.199 Å
α = 60.00°, β = 60.00°, γ = 60.00°
Each line ends with the local moment (μB).
Sites, in units of the cell vectors:
O1 0.202 0.798 0.798  -0.06
O2 0.202 0.202 0.798  -0.06
Eu1 0.625 0.125 0.625  6.23
O3 0.798 0.202 0.798  -0.06
Ti1 0.125 0.125 0.125  0.01
Ti2 0.125 0.625 0.125  0.01
Eu2 0.625 0.625 0.125  6.23
O4 0.750 0.750 0.750  -0.16
O5 0.048 0.452 0.048  -0.06
O6 0.452 0.452 0.048  -0.06
O7 0.798 0.202 0.202  -0.06
Ti3 0.625 0.125 0.125  0.01
O8 0.798 0.798 0.202  -0.06
Ti4 0.125 0.125 0.625  0.01
O9 0.202 0.798 0.202  -0.06
O10 0.500 0.500 0.500  -0.16
O11 0.048 0.452 0.452  -0.06
O12 0.452 0.048 0.048  -0.06
O13 0.048 0.048 0.452  -0.06
Eu3 0.125 0.625 0.625  6.23
O14 0.452 0.048 0.452  -0.06
Eu4 0.625 0.625 0.625  6.23

Results
* M_tot: 1.09 μB per atom
* ρ: 6.4 Mg/m³
* formation energy from raw total energies: -3289 meV/atom
* V: 263.8 Å³ per cell



(4)
AlTeMo4 | meta-GGA SCAN | single point on PBEsol structure

a = 5.256 Å, b = 5.256 Å, c = 5.256 Å
α = 60.00°, β = 60.00°, γ = 60.00°
Sites, in units of the cell vectors:
Mo1 0.876 0.375 0.375
Te1 0.750 0.750 0.750
Mo2 0.375 0.375 0.876
Mo3 0.375 0.876 0.375
Mo4 0.375 0.375 0.375
Al1 0.000 0.000 0.000

Results
* M_tot: 0.00 μB per atom
* ρ: 8.7 Mg/m³
* formation energy from raw total energies: 437 meV/atom
* V: 102.7 Å³ per cell



(5)
SrScGaFe2 | meta-GGA SCAN | single point on PBEsol structure

a = 4.640 Å, b = 4.640 Å, c = 5.025 Å
α = 90.00°, β = 90.00°, γ = 90.00°
Each line ends with the local moment (μB).
Sites, in units of the cell vectors:
Sr1 0.500 0.500 0.500  -0.08
Sc1 0.000 0.000 0.500  -0.43
Fe1 0.500 0.000 0.000  3.05
Fe2 0.000 0.500 0.000  3.05
Ga1 0.000 0.000 0.000  -0.12

Results
* M_tot: 0.99 μB per atom
* ρ: 4.8 Mg/m³
* DFT formation energy: 0.514 eV/atom
* V: 108.2 Å³ per cell



(6)
K2TlSe | meta-GGA SCAN | single point on PBEsol structure

a = 4.959 Å, b = 4.977 Å, c = 6.061 Å
α = 114.24°, β = 114.14°, γ = 90.00°
Each line ends with the local moment (μB).
Sites, in units of the cell vectors:
K1 0.751 0.751 0.501  0.04
Se1 0.500 0.000 0.000  0.02
Tl1 0.000 0.500 0.000  0.19
K2 0.249 0.249 0.499  0.04

Results
* M_tot: 0.25 μB per atom
* ρ: 4.9 Mg/m³
* formation energy from raw total energies: -652 meV/atom
* V: 121.9 Å³ per cell
* ΔE to the lowest computed polymorph: 0.000 eV/atom



(7)
Y2ScSb | meta-GGA SCAN | single point on PBEsol structure

a = 3.380 Å, b = 5.653 Å, c = 5.653 Å
α = 109.22°, β = 90.00°, γ = 90.00°
Sites, in units of the cell vectors:
Y1 0.000 0.500 0.000
Sb1 0.500 0.000 0.000
Sc1 0.500 0.500 0.500
Y2 0.000 0.000 0.500

Results
* M_tot: 0.00 μB per atom
* ρ: 5.6 Mg/m³
* formation energy from raw total energies: -410 meV/atom
* V: 102.0 Å³ per cell



(8)
LaYAs | meta-GGA SCAN | single point on PBEsol structure

a = 4.817 Å, b = 4.817 Å, c = 4.817 Å
α = 60.00°, β = 60.00°, γ = 60.00°
Sites, in units of the cell vectors:
Y1 0.750 0.750 0.750
As1 0.000 0.000 0.000
La1 0.500 0.500 0.500

Results
* M_tot: 0.00 μB per atom
* ρ: 6.4 Mg/m³
* DFT formation energy: -0.046 eV/atom
* V: 79.0 Å³ per cell